(1)
A relaxed Ti2BPOs crystal, computed with PBE.

Calculated values
- Total magnetic moment: 0.00 μB/cell
- ΔE_f: 0.53 eV per atom
- E_tot: -7.30 eV/atom

```
data_Ti2BPOs
_cell_length_a 4.775
_cell_length_b 3.969
_cell_length_c 4.775
_cell_angle_alpha 90.00
_cell_angle_beta 90.00
_cell_angle_gamma 90.00
_symmetry_space_group_name_H-M 'P 1'
_symmetry_Int_Tables_number 1
loop_
_symmetry_equiv_pos_as_xyz
'x,y,z'
loop_
_atom_site_label
_atom_site_type_symbol
_atom_site_fract_x
_atom_site_fract_y
_atom_site_fract_z
_atom_site_occupancy
P1 P 0.500 0.500 0.500 1
B1 B 0.000 0.500 0.000 1
Os1 Os 0.000 0.000 0.000 1
Ti1 Ti 0.000 0.000 0.500 1
Ti2 Ti 0.500 0.000 0.000 1
```

=====

(2)
A relaxed Pa3B4Os2 crystal, computed with PBE.

Calculated values
- Total magnetic moment: 0.00 μB/cell
- ΔE_f: -0.05 eV per atom
- E_tot: -8.68 eV/atom

```
data_Pa3B4Os2
_cell_length_a 3.215
_cell_length_b 7.039
_cell_length_c 7.039
_cell_angle_alpha 71.23
_cell_angle_beta 76.80
_cell_angle_gamma 76.80
_symmetry_space_group_name_H-M 'P 1'
_symmetry_Int_Tables_number 1
loop_
_symmetry_equiv_pos_as_xyz
'x,y,z'
loop_
_atom_site_label
_atom_site_type_symbol
_atom_site_fract_x
_atom_site_fract_y
_atom_site_fract_z
_atom_site_occupancy
Pa1 Pa 0.351 0.149 0.149 1
Pa2 Pa 0.500 0.500 0.500 1
Pa3 Pa 0.649 0.851 0.851 1
B1 B 0.781 0.979 0.458 1
B2 B 0.219 0.542 0.021 1
B3 B 0.219 0.021 0.542 1
B4 B 0.781 0.458 0.979 1
Os1 Os 0.000 0.762 0.238 1
Os2 Os 0.000 0.238 0.762 1
```

=====

(3)
A relaxed Pa2B4Os5 crystal, computed with PBE.

Calculated values
- Total magnetic moment: 0.44 μB/cell
- ΔE_f: -0.41 eV per atom
- E_tot: -9.67 eV/atom

```
data_Pa2B4Os5
_cell_length_a 5.519
_cell_length_b 5.530
_cell_length_c 6.460
_cell_angle_alpha 77.69
_cell_angle_beta 64.71
_cell_angle_gamma 60.07
_symmetry_space_group_name_H-M 'P 1'
_symmetry_Int_Tables_number 1
loop_
_symmetry_equiv_pos_as_xyz
'x,y,z'
loop_
_atom_site_label
_atom_site_type_symbol
_atom_site_fract_x
_atom_site_fract_y
_atom_site_fract_z
_atom_site_occupancy
Pa1 Pa 0.867 0.000 0.267 1
Pa2 Pa 0.133 0.000 0.733 1
B1 B 0.473 0.317 0.736 1
B2 B 0.527 0.683 0.264 1
B3 B 0.209 0.317 0.264 1
B4 B 0.791 0.683 0.736 1
Os1 Os 0.500 0.000 0.000 1
Os2 Os 0.000 0.500 0.000 1
Os3 Os 0.500 0.500 0.000 1
Os4 Os 0.250 0.500 0.500 1
Os5 Os 0.750 0.500 0.500 1
```

=====

(4)
A relaxed PaB4Os4 crystal, computed with PBE.

Calculated values
- Total magnetic moment: 0.00 μB/cell
- ΔE_f: -0.35 eV per atom
- E_tot: -9.36 eV/atom

```
data_PaB4Os4
_cell_length_a 5.436
_cell_length_b 5.436
_cell_length_c 7.380
_cell_angle_alpha 90.00
_cell_angle_beta 90.00
_cell_angle_gamma 90.00
_symmetry_space_group_name_H-M 'P 1'
_symmetry_Int_Tables_number 1
loop_
_symmetry_equiv_pos_as_xyz
'x,y,z'
loop_
_atom_site_label
_atom_site_type_symbol
_atom_site_fract_x
_atom_site_fract_y
_atom_site_fract_z
_atom_site_occupancy
Pa1 Pa 0.000 0.000 0.000 1
Pa2 Pa 0.500 0.500 0.500 1
B1 B 0.500 0.830 0.845 1
B2 B 0.500 0.170 0.845 1
B3 B 0.830 0.500 0.155 1
B4 B 0.170 0.500 0.155 1
B5 B 0.330 0.000 0.345 1
B6 B 0.670 0.000 0.345 1
B7 B 0.000 0.330 0.655 1
B8 B 0.000 0.670 0.655 1
Os1 Os 0.256 0.500 0.860 1
Os2 Os 0.744 0.500 0.860 1
Os3 Os 0.500 0.744 0.140 1
Os4 Os 0.500 0.256 0.140 1
Os5 Os 0.000 0.756 0.360 1
Os6 Os 0.000 0.244 0.360 1
Os7 Os 0.244 0.000 0.640 1
Os8 Os 0.756 0.000 0.640 1
```

=====

(5)
A relaxed Pa3B8Os3 crystal, computed with PBE.

Calculated values
- Total magnetic moment: 0.00 μB/cell
- ΔE_f: -0.13 eV per atom
- E_tot: -8.38 eV/atom

```
data_Pa3B8Os3
_cell_length_a 3.113
_cell_length_b 7.567
_cell_length_c 7.567
_cell_angle_alpha 81.22
_cell_angle_beta 78.13
_cell_angle_gamma 78.13
_symmetry_space_group_name_H-M 'P 1'
_symmetry_Int_Tables_number 1
loop_
_symmetry_equiv_pos_as_xyz
'x,y,z'
loop_
_atom_site_label
_atom_site_type_symbol
_atom_site_fract_x
_atom_site_fract_y
_atom_site_fract_z
_atom_site_occupancy
Pa1 Pa 0.500 0.500 0.500 1
Pa2 Pa 0.790 0.210 0.210 1
Pa3 Pa 0.210 0.790 0.790 1
B1 B 0.652 0.097 0.598 1
B2 B 0.348 0.903 0.402 1
B3 B 0.652 0.598 0.097 1
B4 B 0.348 0.402 0.903 1
B5 B 0.825 0.849 0.502 1
B6 B 0.175 0.151 0.498 1
B7 B 0.825 0.502 0.849 1
B8 B 0.175 0.498 0.151 1
Os1 Os 0.500 0.000 0.000 1
Os2 Os 0.000 0.775 0.225 1
Os3 Os 0.000 0.225 0.775 1
```

=====

(6)
A relaxed Pa2BOs3 crystal, computed with PBE.

Calculated values
- Total magnetic moment: 0.00 μB/cell
- ΔE_f: -0.24 eV per atom
- E_tot: -10.13 eV/atom

```
data_Pa2BOs3
_cell_length_a 4.913
_cell_length_b 4.913
_cell_length_c 4.913
_cell_angle_alpha 68.69
_cell_angle_beta 68.69
_cell_angle_gamma 68.69
_symmetry_space_group_name_H-M 'P 1'
_symmetry_Int_Tables_number 1
loop_
_symmetry_equiv_pos_as_xyz
'x,y,z'
loop_
_atom_site_label
_atom_site_type_symbol
_atom_site_fract_x
_atom_site_fract_y
_atom_site_fract_z
_atom_site_occupancy
Pa1 Pa 0.374 0.374 0.374 1
Pa2 Pa 0.626 0.626 0.626 1
B1 B 0.000 0.000 0.000 1
Os1 Os 0.000 0.000 0.500 1
Os2 Os 0.500 0.000 0.000 1
Os3 Os 0.000 0.500 0.000 1
```

=====

(7)
A relaxed PaBOs2 crystal, computed with PBE.

Calculated values
- Total magnetic moment: 0.00 μB/cell
- ΔE_f: -0.09 eV per atom
- E_tot: -9.75 eV/atom

```
data_PaBOs2
_cell_length_a 3.173
_cell_length_b 5.142
_cell_length_c 4.667
_cell_angle_alpha 123.43
_cell_angle_beta 89.98
_cell_angle_gamma 90.00
_symmetry_space_group_name_H-M 'P 1'
_symmetry_Int_Tables_number 1
loop_
_symmetry_equiv_pos_as_xyz
'x,y,z'
loop_
_atom_site_label
_atom_site_type_symbol
_atom_site_fract_x
_atom_site_fract_y
_atom_site_fract_z
_atom_site_occupancy
Pa1 Pa 0.500 0.500 0.000 1
B1 B 0.500 0.000 0.000 1
Os1 Os 0.000 0.820 0.641 1
Os2 Os 0.000 0.180 0.359 1
```

=====

(8)
A relaxed Pa3B3Os2 crystal, computed with PBE.

Calculated values
- Total magnetic moment: 0.00 μB/cell
- ΔE_f: -0.29 eV per atom
- E_tot: -9.16 eV/atom

```
data_Pa3B3Os2
_cell_length_a 3.629
_cell_length_b 5.723
_cell_length_c 12.765
_cell_angle_alpha 90.00
_cell_angle_beta 90.00
_cell_angle_gamma 108.48
_symmetry_space_group_name_H-M 'P 1'
_symmetry_Int_Tables_number 1
loop_
_symmetry_equiv_pos_as_xyz
'x,y,z'
loop_
_atom_site_label
_atom_site_type_symbol
_atom_site_fract_x
_atom_site_fract_y
_atom_site_fract_z
_atom_site_occupancy
Pa1 Pa 0.942 0.885 0.381 1
Pa2 Pa 0.058 0.115 0.881 1
Pa3 Pa 0.942 0.885 0.119 1
Pa4 Pa 0.058 0.115 0.619 1
Pa5 Pa 0.640 0.279 0.250 1
Pa6 Pa 0.360 0.721 0.750 1
B1 B 0.627 0.254 0.461 1
B2 B 0.373 0.746 0.961 1
B3 B 0.627 0.254 0.039 1
B4 B 0.373 0.746 0.539 1
B5 B 0.325 0.651 0.250 1
B6 B 0.675 0.349 0.750 1
Os1 Os 0.768 0.535 0.914 1
Os2 Os 0.232 0.465 0.414 1
Os3 Os 0.768 0.535 0.586 1
Os4 Os 0.232 0.465 0.086 1
```

=====

(9)
A relaxed PaB2OsRu crystal, computed with PBE.

Calculated values
- Total magnetic moment: 0.00 μB/cell
- ΔE_f: -0.42 eV per atom
- E_tot: -9.09 eV/atom

```
data_PaB2OsRu
_cell_length_a 3.951
_cell_length_b 3.951
_cell_length_c 5.120
_cell_angle_alpha 112.70
_cell_angle_beta 112.70
_cell_angle_gamma 90.00
_symmetry_space_group_name_H-M 'P 1'
_symmetry_Int_Tables_number 1
loop_
_symmetry_equiv_pos_as_xyz
'x,y,z'
loop_
_atom_site_label
_atom_site_type_symbol
_atom_site_fract_x
_atom_site_fract_y
_atom_site_fract_z
_atom_site_occupancy
Pa1 Pa 0.000 0.000 0.000 1
B1 B 0.619 0.619 0.237 1
B2 B 0.381 0.381 0.763 1
Os1 Os 0.750 0.250 0.500 1
Ru1 Ru 0.250 0.750 0.500 1
```

=====

(10)
A relaxed PaBOsRu2 crystal, computed with PBE.

Calculated values
- Total magnetic moment: 0.00 μB/cell
- ΔE_f: -0.54 eV per atom
- E_tot: -9.73 eV/atom

```
data_PaBOsRu2
_cell_length_a 4.213
_cell_length_b 4.213
_cell_length_c 4.213
_cell_angle_alpha 90.00
_cell_angle_beta 90.00
_cell_angle_gamma 90.00
_symmetry_space_group_name_H-M 'P 1'
_symmetry_Int_Tables_number 1
loop_
_symmetry_equiv_pos_as_xyz
'x,y,z'
loop_
_atom_site_label
_atom_site_type_symbol
_atom_site_fract_x
_atom_site_fract_y
_atom_site_fract_z
_atom_site_occupancy
Pa1 Pa 0.500 0.500 0.500 1
B1 B 0.000 0.000 0.000 1
Os1 Os 0.500 0.000 0.000 1
Ru1 Ru 0.000 0.000 0.500 1
Ru2 Ru 0.000 0.500 0.000 1
```

=====

(11)
A relaxed B3OsPb crystal, computed with PBE.

Calculated values
- Total magnetic moment: 0.00 μB/cell
- Offset from the most stable computed form: 2410 meV/atom
- ΔE_f: 3.32 eV per atom
- E_tot: -3.67 eV/atom

```
data_B3OsPb
_cell_length_a 4.395
_cell_length_b 4.395
_cell_length_c 4.395
_cell_angle_alpha 90.00
_cell_angle_beta 90.00
_cell_angle_gamma 90.00
_symmetry_space_group_name_H-M 'P 1'
_symmetry_Int_Tables_number 1
loop_
_symmetry_equiv_pos_as_xyz
'x,y,z'
loop_
_atom_site_label
_atom_site_type_symbol
_atom_site_fract_x
_atom_site_fract_y
_atom_site_fract_z
_atom_site_occupancy
Pb1 Pb 0.000 0.000 0.000 1
B1 B 0.000 0.500 0.000 1
B2 B 0.000 0.000 0.500 1
B3 B 0.500 0.000 0.000 1
Os1 Os 0.500 0.500 0.500 1
```

=====

(12)
A relaxed B3OsPb crystal, computed with PBE.

Calculated values
- Total magnetic moment: 0.00 μB/cell
- Offset from the most stable computed form: 0 meV/atom
- ΔE_f: 0.91 eV per atom
- E_tot: -6.08 eV/atom

```
data_B3OsPb
_cell_length_a 4.220
_cell_length_b 4.220
_cell_length_c 4.220
_cell_angle_alpha 90.00
_cell_angle_beta 90.00
_cell_angle_gamma 90.00
_symmetry_space_group_name_H-M 'P 1'
_symmetry_Int_Tables_number 1
loop_
_symmetry_equiv_pos_as_xyz
'x,y,z'
loop_
_atom_site_label
_atom_site_type_symbol
_atom_site_fract_x
_atom_site_fract_y
_atom_site_fract_z
_atom_site_occupancy
Pb1 Pb 0.500 0.500 0.500 1
B1 B 0.000 0.500 0.000 1
B2 B 0.000 0.000 0.500 1
B3 B 0.500 0.000 0.000 1
Os1 Os 0.000 0.000 0.000 1
```